Below is Cs2K3WO6 after structural relaxation, with properties calculated at the PBE with a Hubbard U level.

Unit cell a=6.9506 b=12.2934 c=6.3986 alpha=90.00 beta=112.29 gamma=90.00
Space group C2/m (No. 12)
One atom of each set of equivalent atoms:
Cs: 0.0000 0.1698 0.0000
K: 0.0000 0.0000 0.5000
K: 0.0000 0.3556 0.5000
W: 0.0000 0.5000 0.0000
O: 0.1738 0.5000 0.8182
O: 0.1791 0.3871 0.2014

N(E_F), states/eV per atom: 0.78
Energy, eV/atom: -5.1216
Crystal system: monoclinic